(1)
AgPCO2: relaxed, PBE-GGA.

## Properties
relative energy among the computed polymorphs	0.000	eV/atom
space-group type	P4/mmm, No. 123
formation energy without anion corrections	103.7	kJ/mol of atoms

The structure in POSCAR format:
```
AgPCO2
1.0
3.7314 0.0000 0.0000
0.0000 3.7314 0.0000
0.0000 0.0000 3.8387
Ag P C O
1 1 1 2
direct
0.0000 0.0000 0.0000
0.5000 0.5000 0.0000
0.5000 0.5000 0.5000
0.0000 0.5000 0.5000
0.5000 0.0000 0.5000
```

(2)
LaGdAlNi: relaxed, PBE-GGA.

## Properties
ΔH_f (0 K)	-22.2	kJ/mol of atoms
space-group type	F-43m, No. 216

The structure in POSCAR format:
```
LaGdAlNi
1.0
0.0000 3.6299 3.6299
3.6299 0.0000 3.6299
3.6299 3.6299 0.0000
La Gd Al Ni
1 1 1 1
direct
0.0000 0.0000 0.0000
0.5000 0.5000 0.5000
0.7500 0.7500 0.7500
0.2500 0.2500 0.2500
```

(3)
BaPr2Ag: relaxed, PBE-GGA.

## Properties
ΔH_f (0 K)	10.9	kJ/mol of atoms
relative energy among the computed polymorphs	0.110	eV/atom
space-group type	R3m, No. 160

The structure in POSCAR format:
```
BaPr2Ag
1.0
1.9631 1.1334 11.2491
-1.9631 1.1334 11.2491
0.0000 -2.2668 11.2491
Ba Pr Ag
1 2 1
direct
0.0000 0.0000 0.0000
0.2313 0.2313 0.2313
0.4338 0.4338 0.4338
0.8326 0.8326 0.8326
```

(4)
La2HoMg4: relaxed, PBE-GGA.

## Properties
ΔH_f (0 K)	3.6	kJ/mol of atoms
space-group type	R-3m, No. 166

The structure in POSCAR format:
```
La2HoMg4
1.0
2.7136 1.5667 7.9411
-2.7136 1.5667 7.9411
0.0000 -3.1334 7.9411
La Ho Mg
2 1 4
direct
0.2153 0.2153 0.2153
0.7847 0.7847 0.7847
0.5000 0.5000 0.5000
0.0674 0.0674 0.0674
0.3634 0.3634 0.3634
0.6366 0.6366 0.6366
0.9326 0.9326 0.9326
```

(5)
La4Tl5Ir2: relaxed, PBE-GGA.

## Properties
ΔH_f (0 K)	-47.6	kJ/mol of atoms
space-group type	P2/m, No. 10

The structure in POSCAR format:
```
La4Tl5Ir2
1.0
8.1934 0.0000 0.0000
0.0000 3.8674 0.0000
-0.6943 0.0000 9.9116
La Tl Ir
4 5 2
direct
0.1834 0.0000 0.3393
0.2103 0.0000 0.9363
0.7897 0.0000 0.0637
0.8166 0.0000 0.6607
0.1603 0.5000 0.6398
0.4587 0.5000 0.1664
0.5000 0.5000 0.5000
0.5413 0.5000 0.8336
0.8397 0.5000 0.3602
0.0855 0.5000 0.1370
0.9145 0.5000 0.8630
```

(6)
Na3Li12Pd5: relaxed, PBE-GGA.

## Properties
ΔH_f (0 K)	11.7	kJ/mol of atoms
space-group type	Ia-3d, No. 230

The structure in POSCAR format:
```
Na3Li12Pd5
1.0
-7.9645 7.9645 7.9645
7.9645 -7.9645 7.9645
7.9645 7.9645 -7.9645
Na Li Pd
12 48 20
direct
0.1250 0.2500 0.3750
0.1250 0.3750 0.7500
0.2500 0.3750 0.1250
0.2500 0.8750 0.6250
0.3750 0.1250 0.2500
0.3750 0.7500 0.1250
0.6250 0.2500 0.8750
0.6250 0.8750 0.7500
0.7500 0.1250 0.3750
0.7500 0.6250 0.8750
0.8750 0.6250 0.2500
0.8750 0.7500 0.6250
0.0127 0.6909 0.0681
0.0127 0.8218 0.9445
0.0555 0.5681 0.8772
0.0555 0.9873 0.1782
0.0681 0.0127 0.6909
0.0681 0.5555 0.3772
0.1228 0.6782 0.6909
0.1228 0.9445 0.4319
0.1782 0.0555 0.9873
0.1782 0.6228 0.1909
0.1909 0.1782 0.6228
0.1909 0.5127 0.5681
0.3091 0.8772 0.3218
0.3091 0.9319 0.9873
0.3218 0.3091 0.8772
0.3218 0.5127 0.4445
0.3772 0.0681 0.5555
0.3772 0.8091 0.8218
0.4319 0.1228 0.9445
0.4319 0.8091 0.4873
0.4445 0.3218 0.5127
0.4445 0.6228 0.9319
0.4873 0.4319 0.8091
0.4873 0.5555 0.6782
0.5127 0.4445 0.3218
0.5127 0.5681 0.1909
0.5555 0.3772 0.0681
0.5555 0.6782 0.4873
0.5681 0.1909 0.5127
0.5681 0.8772 0.0555
0.6228 0.1909 0.1782
0.6228 0.9319 0.4445
0.6782 0.4873 0.5555
0.6782 0.6909 0.1228
0.6909 0.0681 0.0127
0.6909 0.1228 0.6782
0.8091 0.4873 0.4319
0.8091 0.8218 0.3772
0.8218 0.3772 0.8091
0.8218 0.9445 0.0127
0.8772 0.0555 0.5681
0.8772 0.3218 0.3091
0.9319 0.4445 0.6228
0.9319 0.9873 0.3091
0.9445 0.0127 0.8218
0.9445 0.4319 0.1228
0.9873 0.1782 0.0555
0.9873 0.3091 0.9319
0.0000 0.0000 0.0000
0.0000 0.0000 0.5000
0.0000 0.5000 0.0000
0.0000 0.5000 0.5000
0.1250 0.7500 0.8750
0.1250 0.8750 0.2500
0.2500 0.1250 0.8750
0.2500 0.6250 0.3750
0.3750 0.2500 0.6250
0.3750 0.6250 0.7500
0.5000 0.0000 0.0000
0.5000 0.0000 0.5000
0.5000 0.5000 0.0000
0.5000 0.5000 0.5000
0.6250 0.3750 0.2500
0.6250 0.7500 0.3750
0.7500 0.3750 0.6250
0.7500 0.8750 0.1250
0.8750 0.1250 0.7500
0.8750 0.2500 0.1250
```

(7)
ZrRh2Se: relaxed, PBE-GGA.

## Properties
space-group type	I-42d, No. 122
formation energy without anion corrections	-37.1	kJ/mol of atoms

The structure in POSCAR format:
```
ZrRh2Se
1.0
-1.9597 1.9597 9.2144
1.9597 -1.9597 9.2144
1.9597 1.9597 -9.2144
Zr Rh Se
2 4 2
direct
0.0000 0.0000 0.0000
0.7500 0.2500 0.5000
0.1343 0.6250 0.0093
0.3750 0.3843 0.5093
0.6157 0.1250 0.9907
0.8750 0.8657 0.4907
0.2500 0.7500 0.5000
0.5000 0.5000 0.0000
```

(8)
ZrTe2C: relaxed, PBE-GGA.

## Properties
space-group type	R-3m, No. 166
formation energy without anion corrections	78.1	kJ/mol of atoms

The structure in POSCAR format:
```
ZrTe2C
1.0
1.9060 1.1004 7.8337
-1.9060 1.1004 7.8337
0.0000 -2.2009 7.8337
Zr Te C
1 2 1
direct
0.0000 0.0000 0.0000
0.4154 0.4154 0.4154
0.5846 0.5846 0.5846
0.5000 0.5000 0.5000
```

Number 1: energy -4.4054 eV per atom. Number 2: energy -7.3636 eV per atom. Number 3: energy -3.4705 eV per atom. Number 4: energy -2.9354 eV per atom. Number 5: energy -4.9719 eV per atom. Number 6: energy -2.5236 eV per atom. Number 7: energy -7.0683 eV per atom. Number 8: energy -5.2039 eV per atom.